# K2Na2NpO6

An optimized crystal structure of K2Na2NpO6 (PBE-GGA, the Alexandria database).

a b c (Å): 5.8819 5.8819 6.5778
angles (deg): 101.08 101.08 116.58
With the nearest neighbours (Å) after each atom.
Fractional positions:
Na 0.3414 0.6586 0.5000  6 O 2.39-2.59
O 0.7993 0.7993 0.6808  1 Np 2.01
O 0.3420 0.0504 0.6863  1 Np 2.00
O 0.9496 0.6580 0.3137  1 Np 2.00
O 0.0504 0.3420 0.6863  1 Np 2.00
Np 0.0000 0.0000 0.5000  6 O 2.00-2.01
Na 0.6586 0.3414 0.5000  6 O 2.39-2.59
O 0.2007 0.2007 0.3192  1 Np 2.01
K 0.8162 0.1838 0.0000  6 O 2.73-2.80
K 0.1838 0.8162 0.0000  6 O 2.73-2.80
O 0.6580 0.9496 0.3137  1 Np 2.00

Results
Uncorrected formation energy (eV per atom): -1.985
Space-group type: C2/m, No. 12
Crystal system: monoclinic

# RhAuBr2

An optimized crystal structure of RhAuBr2 (PBE-GGA, the Alexandria database).

a b c (Å): 4.8887 4.8887 4.8887
angles (deg): 60.00 60.00 60.00
With the nearest neighbours (Å) after each atom.
Fractional positions:
Br 0.7500 0.7500 0.7500  4 Au 2.99, 4 Rh 2.99
Au 0.5000 0.5000 0.5000  8 Br 2.99
Rh 0.0000 0.0000 0.0000  8 Br 2.99
Br 0.2500 0.2500 0.2500  4 Au 2.99, 4 Rh 2.99

Results
Uncorrected formation energy (eV per atom): 0.606
Space-group type: Fm-3m, No. 225
Crystal system: cubic

# YHgBr2

An optimized crystal structure of YHgBr2 (PBE-GGA, the Alexandria database).

a b c (Å): 5.3427 5.3427 5.3427
angles (deg): 60.00 60.00 60.00
With the nearest neighbours (Å) after each atom.
Fractional positions:
Y 0.7500 0.7500 0.7500  4 Br 3.27, 4 Hg 3.27
Br 0.0000 0.0000 0.0000  4 Y 3.27, 4 Br 3.27
Br 0.2500 0.2500 0.2500  4 Br 3.27, 4 Hg 3.27
Hg 0.5000 0.5000 0.5000  4 Br 3.27, 4 Y 3.27

Results
Uncorrected formation energy (eV per atom): -0.580
Space-group type: F-43m, No. 216
Crystal system: cubic

# Tb3YTl4

An optimized crystal structure of Tb3YTl4 (PBE-GGA, the Alexandria database).

a b c (Å): 3.5647 7.2092 10.0762
angles (deg): 110.95 100.19 90.00
With the nearest neighbours (Å) after each atom.
Fractional positions:
Tb 0.0000 0.5000 0.0000  8 Tl 3.33, 2 Tb 3.56
Tl 0.6267 0.4105 0.2534  1 Y 3.11, 1 Tl 3.12, 5 Tb 3.21-3.33
Tl 0.6267 0.8431 0.2535  1 Y 3.11, 1 Tl 3.12, 5 Tb 3.21-3.33
Tl 0.3733 0.5895 0.7466  1 Y 3.11, 1 Tl 3.12, 5 Tb 3.21-3.33
Tl 0.3733 0.1569 0.7465  1 Y 3.11, 1 Tl 3.12, 5 Tb 3.21-3.33
Y 0.5000 0.0000 0.0000  4 Tl 3.11
Tb 0.7803 0.7804 0.5607  6 Tl 3.21-3.24, 2 Tb 3.56
Tb 0.2197 0.2196 0.4393  6 Tl 3.21-3.24, 2 Tb 3.56

Results
DFT total energy (eV per atom): -3.96
Space-group type: Immm, No. 71
Crystal system: orthorhombic

# MnNbTe2I

An optimized crystal structure of MnNbTe2I (PBE-GGA, the Alexandria database).

a b c (Å): 5.4196 5.4196 5.7424
angles (deg): 90.00 90.00 90.00
With the nearest neighbours (Å) after each atom.
Fractional positions:
Te 0.0000 0.5000 0.0000  2 Nb 2.71
Te 0.5000 0.0000 0.0000  2 Nb 2.71
I 0.0000 0.0000 0.5000  2 Nb 2.87
Nb 0.0000 0.0000 0.0000  4 Te 2.71, 2 I 2.87
Mn 0.5000 0.5000 0.5000  4 I 3.83, 8 Te 3.95

Results
Uncorrected formation energy (eV per atom): 0.488
Space-group type: P4/mmm, No. 123
Crystal system: tetragonal

# Lu2CdPd

An optimized crystal structure of Lu2CdPd (PBE-GGA, the Alexandria database).

a b c (Å): 3.6528 3.6528 8.8218
angles (deg): 78.05 78.05 60.00
With the nearest neighbours (Å) after each atom.
Fractional positions:
Lu 0.2615 0.2615 0.2155  3 Pd 2.80
Lu 0.7385 0.7385 0.7845  3 Pd 2.80
Pd 0.0000 0.0000 0.0000  6 Lu 2.80
Cd 0.5000 0.5000 0.5000  6 Lu 3.22

Results
DFT total energy (eV per atom): -4.24
Space-group type: R-3m, No. 166
Crystal system: trigonal

# NpAlTc

An optimized crystal structure of NpAlTc (PBE-GGA, the Alexandria database).

a b c (Å): 3.1303 3.1303 5.9884
angles (deg): 105.15 105.15 90.00
With the nearest neighbours (Å) after each atom.
Fractional positions:
Al 0.0276 0.0276 0.0553  4 Tc 2.64
Np 0.3155 0.3155 0.6310  4 Tc 2.83, 4 Np 3.13
Tc 0.6569 0.6569 0.3138  4 Al 2.64, 4 Np 2.83

Results
DFT total energy (eV per atom): -9.05
Space-group type: I4mm, No. 107
Crystal system: tetragonal

# ZnFe3Te

An optimized crystal structure of ZnFe3Te (PBE-GGA, the Alexandria database).

a b c (Å): 4.3273 4.3273 4.3273
angles (deg): 90.00 90.00 90.00
With the nearest neighbours (Å) after each atom.
Fractional positions:
Fe 0.0000 0.5000 0.0000  2 Zn 2.16
Zn 0.0000 0.0000 0.0000  6 Fe 2.16
Te 0.5000 0.5000 0.5000  12 Fe 3.06
Fe 0.0000 0.0000 0.5000  2 Zn 2.16
Fe 0.5000 0.0000 0.0000  2 Zn 2.16

Results
Uncorrected formation energy (eV per atom): 1.444
Space-group type: Pm-3m, No. 221
Crystal system: cubic

# Ca2HoUS6

An optimized crystal structure of Ca2HoUS6 (PBE-GGA, the Alexandria database).

a b c (Å): 6.9651 6.9653 7.3348
angles (deg): 61.65 61.65 60.00
With the nearest neighbours (Å) after each atom.
Fractional positions:
Ca 0.0208 0.0208 0.9375  6 S 2.81-2.90
S 0.4389 0.6917 0.7646  1 U 2.63, 1 Ho 2.70, 2 Ca 2.81-2.93
S 0.1047 0.4390 0.7647  1 U 2.63, 1 Ho 2.70, 2 Ca 2.81-2.93
U 0.3221 0.3221 0.0338  6 S 2.63
Ho 0.8179 0.8179 0.5463  6 S 2.70-2.76
Ca 0.5254 0.5253 0.4240  6 S 2.83-2.93
S 0.5894 0.1956 0.2599  1 U 2.63, 1 Ho 2.76, 2 Ca 2.83-2.90
S 0.6918 0.1046 0.7647  1 U 2.63, 1 Ho 2.70, 2 Ca 2.81-2.93
S 0.1955 0.9552 0.2599  1 U 2.63, 1 Ho 2.76, 2 Ca 2.83-2.90
S 0.9552 0.5894 0.2599  1 U 2.63, 1 Ho 2.76, 2 Ca 2.83-2.90

Results
Uncorrected formation energy (eV per atom): -1.786
Space-group type: R3, No. 146
Crystal system: trigonal

# AsPd5Pb4

An optimized crystal structure of AsPd5Pb4 (PBE-GGA, the Alexandria database).

a b c (Å): 4.9688 6.9530 6.9530
angles (deg): 82.66 69.06 69.06
With the nearest neighbours (Å) after each atom.
Fractional positions:
Pb 0.4706 0.3035 0.7074  6 Pd 2.86-3.19
Pd 0.7766 0.3706 0.9883  1 As 2.58, 1 Pd 2.87
Pb 0.1780 0.2926 0.3035  6 Pd 2.86-3.19
As 0.1404 0.0000 0.0000  6 Pd 2.48-2.58
Pd 0.7650 0.0117 0.3706  1 As 2.58, 1 Pd 2.87
Pd 0.1355 0.6294 0.0117  1 As 2.58, 1 Pd 2.87
Pb 0.7740 0.7074 0.6965  6 Pd 2.86-3.19
Pd 0.6416 0.0000 0.0000  2 As 2.48-2.49
Pd 0.1472 0.9883 0.6294  1 As 2.58, 1 Pd 2.87
Pb 0.4815 0.6965 0.2926  6 Pd 2.86-3.19

Results
DFT total energy (eV per atom): -4.81
Space-group type: I4, No. 79
Crystal system: tetragonal

# ScBeTe2Rh

An optimized crystal structure of ScBeTe2Rh (PBE-GGA, the Alexandria database).

a b c (Å): 4.7789 4.4695 4.7789
angles (deg): 90.00 90.00 90.00
With the nearest neighbours (Å) after each atom.
Fractional positions:
Sc 0.0000 0.5000 0.0000  2 Be 2.23
Be 0.0000 0.0000 0.0000  2 Sc 2.23, 4 Te 2.39
Te 0.0000 0.0000 0.5000  2 Be 2.39
Te 0.5000 0.0000 0.0000  2 Be 2.39
Rh 0.5000 0.5000 0.5000  8 Te 3.27, 4 Sc 3.38

Results
Uncorrected formation energy (eV per atom): 0.331
Space-group type: P4/mmm, No. 123
Crystal system: tetragonal

# MnAlH

An optimized crystal structure of MnAlH (PBE-GGA, the Alexandria database).

a b c (Å): 5.1141 11.4157 8.3523
angles (deg): 90.00 90.00 86.76
With the nearest neighbours (Å) after each atom.
Fractional positions:
H 0.5609 0.5566 0.0685  3 Mn 1.70-1.85, 1 H 1.86
Mn 0.2589 0.3219 0.5696  3 H 1.71-1.79
H 0.5609 0.0566 0.4315  3 Mn 1.70-1.85, 1 H 1.86
Al 0.4993 0.2199 0.3310  2 H 2.02-2.05
Mn 0.2589 0.8219 0.9304  3 H 1.71-1.79
H 0.0037 0.0826 0.0290  2 Mn 1.70-1.71
Al 0.9977 0.0565 0.2805  1 H 2.12
H 0.9963 0.4174 0.5290  2 Mn 1.70-1.71
Mn 0.2214 0.3919 0.0645  3 H 1.70-1.81
Al 0.0023 0.4435 0.7805  1 H 2.12
Al 0.5052 0.5284 0.6563  1 H 2.53, 3 Mn 2.63-2.80, 1 Al 2.69
H 0.4815 0.2823 0.1047  4 Mn 1.76-1.95
H 0.9834 0.7821 0.4647  4 Mn 1.79-1.92
Al 0.0023 0.9435 0.7195  1 H 2.12
Mn 0.7786 0.6081 0.9355  3 H 1.70-1.81
Mn 0.7411 0.6781 0.4304  3 H 1.71-1.79
Al 0.4948 0.4716 0.3437  1 H 2.53, 3 Mn 2.63-2.80, 1 Al 2.69
Mn 0.7188 0.4067 0.0638  4 H 1.84-1.95
Mn 0.2812 0.0933 0.5638  4 H 1.84-1.95
H 0.4391 0.4434 0.9315  3 Mn 1.70-1.85, 1 H 1.86
H 0.0166 0.7179 0.9647  4 Mn 1.79-1.92
Mn 0.7505 0.3290 0.5741  3 H 1.70-1.84
Mn 0.7411 0.1781 0.0696  3 H 1.71-1.79
H 0.0037 0.5826 0.4710  2 Mn 1.70-1.71
Mn 0.7505 0.8290 0.9259  3 H 1.70-1.84
Al 0.9848 0.3080 0.3035  3 H 2.19-2.26
Mn 0.2812 0.5933 0.9362  4 H 1.84-1.95
Al 0.5007 0.2801 0.8310  2 H 2.02-2.05
H 0.4815 0.7823 0.3953  4 Mn 1.76-1.95
Mn 0.2214 0.8919 0.4355  3 H 1.70-1.81
Mn 0.7786 0.1081 0.5645  3 H 1.70-1.81
H 0.9834 0.2821 0.0353  4 Mn 1.79-1.92
Al 0.4948 0.9716 0.1563  1 H 2.53, 3 Mn 2.63-2.80, 1 Al 2.69
Al 0.4993 0.7199 0.1690  2 H 2.02-2.05
Mn 0.2495 0.1710 0.0741  3 H 1.70-1.84
Al 0.0152 0.1920 0.8035  3 H 2.19-2.26
Mn 0.7188 0.9067 0.4362  4 H 1.84-1.95
Mn 0.2495 0.6710 0.4259  3 H 1.70-1.84
Al 0.5007 0.7801 0.6690  2 H 2.02-2.05
Al 0.0152 0.6920 0.6965  3 H 2.19-2.26
Al 0.9977 0.5565 0.2195  1 H 2.12
Al 0.9848 0.8080 0.1965  3 H 2.19-2.26
H 0.5185 0.2177 0.6047  4 Mn 1.76-1.95
H 0.5185 0.7177 0.8953  4 Mn 1.76-1.95
H 0.0166 0.2179 0.5353  4 Mn 1.79-1.92
Al 0.5052 0.0284 0.8437  1 H 2.53, 3 Mn 2.63-2.80, 1 Al 2.69
H 0.9963 0.9174 0.9710  2 Mn 1.70-1.71
H 0.4391 0.9434 0.5685  3 Mn 1.70-1.85, 1 H 1.86

Results
DFT total energy (eV per atom): -5.45
Space-group type: P2_1/c, No. 14
Crystal system: monoclinic